Computed, not measured: crystalline Zn2SiPt at its relaxed geometry at the PBE-GGA level of DFT.

Properties
For the total DFT energy (no corrections), the calculation gives -14.617 eV for the cell shown. The volume comes out at 58 Å³ per cell. For the density of states at the Fermi level, the calculation gives 1.93 states/eV/f.u. For the size of the total moment, the calculation gives 0.0 μB/f.u.

Cell: 3.8363 3.8363 3.9642 Å, 90.00 90.00 90.00°
Space group P4/mmm (No. 123)
Symmetry-distinct sites (fractional):
Zn 0.0000 0.5000 0.0000 x2
Si 0.0000 0.0000 0.5000 x1
Pt 0.5000 0.5000 0.5000 x1